# 1
# Ba2FePtO6, relaxed, DFT GGA+U
data_Ba2FePtO6
_chemical_formula_sum 'Ba12 Fe6 Pt6 O36'
_space_group_name_H-M_alt 'R -3 m'
_space_group_IT_number 166
_space_group_name_Hall '-R 3 2"'
_cell_length_a 5.8347
_cell_length_b 5.8347
_cell_length_c 29.0312
_cell_angle_alpha 90.00
_cell_angle_beta 90.00
_cell_angle_gamma 120.00
loop_
_atom_site_label
_atom_site_type_symbol
_atom_site_fract_x
_atom_site_fract_y
_atom_site_fract_z
_atom_site_occupancy
Ba1 Ba 0.0000 0.0000 0.1279 1
Ba2 Ba 0.0000 0.0000 0.2862 1
Fe1 Fe 0.0000 0.0000 0.4070 1
Pt1 Pt 0.0000 0.0000 0.0000 1
Pt2 Pt 0.0000 0.0000 0.5000 1
O1 O 0.0056 0.5028 0.7063 1
O2 O 0.0256 0.5128 0.1227 1
# DFT total energy ... -6.23 eV/atom
# Fermi-level density of states ... 34.6 states/eV/cell
# Crystal system ... trigonal
# M_tot ... 5.01 μB/f.u.

---

# 2
# Ba3PuFe2O9, relaxed, DFT GGA+U
data_Ba3PuFe2O9
_chemical_formula_sum 'Ba3 Pu1 Fe2 O9'
_space_group_name_H-M_alt 'P -3 m 1'
_space_group_IT_number 164
_space_group_name_Hall '-P 3 2"'
_cell_length_a 5.8631
_cell_length_b 5.8631
_cell_length_c 7.2350
_cell_angle_alpha 90.00
_cell_angle_beta 90.00
_cell_angle_gamma 120.00
loop_
_atom_site_label
_atom_site_type_symbol
_atom_site_fract_x
_atom_site_fract_y
_atom_site_fract_z
_atom_site_occupancy
Ba1 Ba 0.0000 0.0000 0.0000 1
Ba2 Ba 0.3333 0.6667 0.6837 1
Pu1 Pu 0.0000 0.0000 0.5000 1
Fe1 Fe 0.3333 0.6667 0.1488 1
O1 O 0.0000 0.5000 0.0000 1
O2 O 0.1672 0.3345 0.3329 1
# DFT total energy ... -7.44 eV/atom
# Fermi-level density of states ... 7.9 states/eV/cell
# Crystal system ... trigonal
# M_tot ... 12.00 μB/f.u.